Record 1
Density functional theory data (PBE-GGA) for crystalline ReSi3Cl at its relaxed geometry.

abc: 4.706 4.706 4.706
angles: 90.00 90.00 90.00
Element x y z (fractional)
Re 0.000 0.000 0.000
Si 0.000 0.000 0.500
Si 0.000 0.500 0.000
Si 0.500 0.000 0.000
Cl 0.500 0.500 0.500

Values from the calculation:
The value obtained for the density of states at the Fermi level is 0.00 states/eV per cell. For the formation energy (no corrections), the calculation gives 0.808 kcal/mol of atoms. Its electronic total energy is -6.08 eV per atom.

Record 2
Density functional theory data (PBE-GGA) for crystalline TmTlCuAu at its relaxed geometry.

abc: 4.853 4.853 4.853
angles: 60.00 60.00 60.00
Element x y z (fractional)
Tm 0.000 0.000 0.000
Tl 0.500 0.500 0.500
Cu 0.750 0.750 0.750
Au 0.250 0.250 0.250

Values from the calculation:
The value obtained for the density of states at the Fermi level is 1.77 states/eV per cell. The calculation puts the formation energy from the elements at -327.8 meV/atom. Its electronic total energy is -3.88 eV per atom.

Record 3
Density functional theory data (PBE-GGA) for crystalline SrMg6CdCu at its relaxed geometry.

abc: 8.864 8.864 7.409
angles: 114.69 114.69 68.33
Element x y z (fractional)
Sr 0.050 0.050 0.300
Sr 0.950 0.950 0.700
Mg 0.128 0.616 0.914
Mg 0.129 0.615 0.330
Mg 0.248 0.248 0.997
Mg 0.319 0.319 0.570
Mg 0.384 0.872 0.086
Mg 0.385 0.871 0.670
Mg 0.615 0.129 0.330
Mg 0.616 0.128 0.914
Mg 0.681 0.681 0.430
Mg 0.752 0.752 0.003
Mg 0.871 0.385 0.670
Mg 0.872 0.384 0.086
Cd 0.500 0.500 0.000
Cd 0.500 0.500 0.500
Cu 0.000 0.500 0.500
Cu 0.500 0.000 0.500

Values from the calculation:
The value obtained for the density of states at the Fermi level is 10.94 states/eV per cell. The calculation puts the formation energy from the elements at 60.3 meV/atom. Its electronic total energy is -1.75 eV per atom.

Record 4
Density functional theory data (PBE-GGA) for crystalline Pr5Dy2Ho4 at its relaxed geometry.

abc: 9.070 9.070 11.684
angles: 93.90 93.90 22.67
Element x y z (fractional)
Pr 0.000 0.000 0.000
Pr 0.323 0.323 0.929
Pr 0.403 0.403 0.464
Pr 0.597 0.597 0.536
Pr 0.677 0.677 0.071
Dy 0.216 0.216 0.353
Dy 0.784 0.784 0.647
Ho 0.140 0.140 0.795
Ho 0.465 0.465 0.739
Ho 0.535 0.535 0.261
Ho 0.860 0.860 0.205

Values from the calculation:
The value obtained for the density of states at the Fermi level is 15.23 states/eV per cell. The calculation puts the formation energy from the elements at 76.0 meV/atom. Its electronic total energy is -4.60 eV per atom.

Record 5
Density functional theory data (PBE-GGA) for crystalline GaCl2F at its relaxed geometry.

abc: 6.605 4.862 17.202
angles: 90.00 112.55 90.00
Element x y z (fractional)
Ga 0.082 0.001 0.332
Ga 0.082 0.499 0.832
Ga 0.918 0.501 0.168
Ga 0.918 0.999 0.668
Cl 0.108 0.202 0.610
Cl 0.108 0.298 0.110
Cl 0.386 0.204 0.390
Cl 0.386 0.296 0.890
Cl 0.614 0.704 0.110
Cl 0.614 0.796 0.610
Cl 0.892 0.702 0.890
Cl 0.892 0.798 0.390
F 0.108 0.749 0.750
F 0.108 0.751 0.250
F 0.892 0.249 0.750
F 0.892 0.251 0.250

Values from the calculation:
The value obtained for the density of states at the Fermi level is 0.00 states/eV per cell. For the formation energy (no corrections), the calculation gives -36.680 kcal/mol of atoms. Its electronic total energy is -3.74 eV per atom.

Record 6
Density functional theory data (PBE-GGA) for crystalline LuNiHg at its relaxed geometry.

abc: 4.487 4.487 3.418
angles: 90.00 90.00 120.00
Element x y z (fractional)
Lu 0.000 0.000 0.000
Ni 0.667 0.333 0.498
Hg 0.333 0.667 0.500

Values from the calculation:
The value obtained for the density of states at the Fermi level is 1.96 states/eV per cell. The calculation puts the formation energy from the elements at -301.5 meV/atom. Its electronic total energy is -3.84 eV per atom.

Record 7
Density functional theory data (PBE-GGA) for crystalline Sr2MgInNi at its relaxed geometry.

abc: 5.673 5.673 4.972
angles: 90.00 90.00 90.00
Element x y z (fractional)
Sr 0.000 0.500 0.000
Sr 0.500 0.000 0.000
Mg 0.000 0.000 0.500
In 0.500 0.500 0.500
Ni 0.000 0.000 0.000

Values from the calculation:
The value obtained for the density of states at the Fermi level is 4.26 states/eV per cell. The calculation puts the formation energy from the elements at -56.3 meV/atom. Its electronic total energy is -2.75 eV per atom.

Record 8
Density functional theory data (PBE-GGA) for crystalline HoPuTi2 at its relaxed geometry.

abc: 3.577 3.577 6.859
angles: 90.00 90.00 90.00
Element x y z (fractional)
Ho 0.000 0.000 0.000
Pu 0.000 0.000 0.500
Ti 0.500 0.500 0.296
Ti 0.500 0.500 0.704

Values from the calculation:
The value obtained for the density of states at the Fermi level is 7.22 states/eV per cell. The calculation puts the formation energy from the elements at 174.3 meV/atom. Its electronic total energy is -8.50 eV per atom.